Entry 1:
The following is a PBE calculation of crystalline CaSnS3 at its relaxed geometry, from the Alexandria database.

Unit cell a=13.997 b=4.855 c=7.879 alpha=90.00 beta=90.00 gamma=90.00
Element x y z (fractional)
Ca: 0.000 0.041 0.000
Ca: 0.000 0.959 0.500
Ca: 0.500 0.253 0.442
Ca: 0.500 0.747 0.942
Sn: 0.205 0.465 0.740
Sn: 0.205 0.535 0.240
Sn: 0.795 0.465 0.740
Sn: 0.795 0.535 0.240
S: 0.000 0.461 0.707
S: 0.000 0.539 0.207
S: 0.144 0.035 0.252
S: 0.144 0.965 0.752
S: 0.314 0.466 0.993
S: 0.314 0.534 0.493
S: 0.500 0.247 0.783
S: 0.500 0.753 0.283
S: 0.686 0.466 0.993
S: 0.686 0.534 0.493
S: 0.856 0.035 0.252
S: 0.856 0.965 0.752

Density of states at the Fermi level   8.090 states/eV/cell
Relative energy among the computed polymorphs   180 meV per atom
Total magnetization   0.52 μB per cell

Entry 2:
The following is a PBE calculation of crystalline CaSnS3 at its relaxed geometry, from the Alexandria database.

Unit cell a=4.997 b=4.997 c=4.997 alpha=90.00 beta=90.00 gamma=90.00
Element x y z (fractional)
Ca: 0.000 0.000 0.000
Sn: 0.500 0.500 0.500
S: 0.000 0.500 0.500
S: 0.500 0.000 0.500
S: 0.500 0.500 0.000

Density of states at the Fermi level   2.688 states/eV/cell
Relative energy among the computed polymorphs   416 meV per atom
Total magnetization   0.00 μB per cell

Entry 3:
The following is a PBE calculation of crystalline CaSnS3 at its relaxed geometry, from the Alexandria database.

Unit cell a=6.956 b=6.956 c=6.956 alpha=89.99 beta=120.49 gamma=119.53
Element x y z (fractional)
Ca: 0.030 0.250 0.280
Ca: 0.970 0.750 0.720
Sn: 0.534 0.034 0.500
Sn: 0.534 0.534 0.000
S: 0.041 0.200 0.689
S: 0.041 0.852 0.341
S: 0.473 0.851 0.122
S: 0.512 0.352 0.311
S: 0.512 0.700 0.659
S: 0.729 0.351 0.878

Relative energy among the computed polymorphs   97 meV per atom
Total magnetization   0.00 μB per cell

Entry 4:
The following is a PBE calculation of crystalline CaSnS3 at its relaxed geometry, from the Alexandria database.

Unit cell a=6.484 b=6.484 c=9.425 alpha=90.00 beta=90.00 gamma=146.12
Element x y z (fractional)
Ca: 0.245 0.755 0.750
Ca: 0.755 0.245 0.250
Sn: 0.500 0.500 0.000
Sn: 0.500 0.500 0.500
S: 0.142 0.858 0.047
S: 0.142 0.858 0.453
S: 0.420 0.580 0.250
S: 0.580 0.420 0.750
S: 0.858 0.142 0.547
S: 0.858 0.142 0.953

Density of states at the Fermi level   0.005 states/eV/cell
Relative energy among the computed polymorphs   21 meV per atom
Total magnetization   0.00 μB per cell

Entry 5:
The following is a PBE calculation of crystalline Ca3SnS5 at its relaxed geometry, from the Alexandria database.

Unit cell a=8.076 b=8.076 c=7.129 alpha=90.00 beta=90.00 gamma=120.00
Element x y z (fractional)
Ca: 0.000 0.422 0.250
Ca: 0.000 0.578 0.750
Ca: 0.422 0.000 0.250
Ca: 0.422 0.422 0.750
Ca: 0.578 0.000 0.750
Ca: 0.578 0.578 0.250
Sn: 0.000 0.000 0.000
Sn: 0.000 0.000 0.500
S: 0.000 0.237 0.750
S: 0.000 0.763 0.250
S: 0.237 0.000 0.750
S: 0.237 0.237 0.250
S: 0.333 0.667 0.000
S: 0.333 0.667 0.500
S: 0.667 0.333 0.000
S: 0.667 0.333 0.500
S: 0.763 0.000 0.250
S: 0.763 0.763 0.750

Density of states at the Fermi level   2.143 states/eV/cell
Relative energy among the computed polymorphs   105 meV per atom
Total magnetization   0.00 μB per cell

Entry 6:
The following is a PBE calculation of crystalline Ca3Sn5S12 at its relaxed geometry, from the Alexandria database.

Unit cell a=13.831 b=13.831 c=13.831 alpha=109.47 beta=109.47 gamma=109.47
Element x y z (fractional)
Ca: 0.125 0.250 0.375
Ca: 0.125 0.375 0.750
Ca: 0.250 0.375 0.125
Ca: 0.250 0.875 0.625
Ca: 0.375 0.125 0.250
Ca: 0.375 0.750 0.125
Ca: 0.625 0.250 0.875
Ca: 0.625 0.875 0.750
Ca: 0.750 0.125 0.375
Ca: 0.750 0.625 0.875
Ca: 0.875 0.625 0.250
Ca: 0.875 0.750 0.625
Sn: 0.000 0.000 0.000
Sn: 0.000 0.000 0.500
Sn: 0.000 0.500 0.000
Sn: 0.000 0.500 0.500
Sn: 0.125 0.750 0.875
Sn: 0.125 0.875 0.250
Sn: 0.250 0.125 0.875
Sn: 0.250 0.625 0.375
Sn: 0.375 0.250 0.625
Sn: 0.375 0.625 0.750
Sn: 0.500 0.000 0.000
Sn: 0.500 0.000 0.500
Sn: 0.500 0.500 0.000
Sn: 0.500 0.500 0.500
Sn: 0.625 0.375 0.250
Sn: 0.625 0.750 0.375
Sn: 0.750 0.375 0.625
Sn: 0.750 0.875 0.125
Sn: 0.875 0.125 0.750
Sn: 0.875 0.250 0.125
S: 0.039 0.218 0.130
S: 0.039 0.321 0.909
S: 0.088 0.718 0.679
S: 0.088 0.870 0.409
S: 0.091 0.630 0.412
S: 0.091 0.961 0.679
S: 0.130 0.039 0.218
S: 0.130 0.591 0.912
S: 0.179 0.218 0.588
S: 0.179 0.461 0.591
S: 0.218 0.130 0.039
S: 0.218 0.588 0.179
S: 0.282 0.321 0.912
S: 0.282 0.461 0.370
S: 0.321 0.909 0.039
S: 0.321 0.912 0.282
S: 0.370 0.282 0.461
S: 0.370 0.588 0.909
S: 0.409 0.088 0.870
S: 0.409 0.821 0.539
S: 0.412 0.091 0.630
S: 0.412 0.821 0.782
S: 0.461 0.370 0.282
S: 0.461 0.591 0.179
S: 0.539 0.409 0.821
S: 0.539 0.630 0.718
S: 0.588 0.179 0.218
S: 0.588 0.909 0.370
S: 0.591 0.179 0.461
S: 0.591 0.912 0.130
S: 0.630 0.412 0.091
S: 0.630 0.718 0.539
S: 0.679 0.088 0.718
S: 0.679 0.091 0.961
S: 0.718 0.539 0.630
S: 0.718 0.679 0.088
S: 0.782 0.412 0.821
S: 0.782 0.870 0.961
S: 0.821 0.539 0.409
S: 0.821 0.782 0.412
S: 0.870 0.409 0.088
S: 0.870 0.961 0.782
S: 0.909 0.039 0.321
S: 0.909 0.370 0.588
S: 0.912 0.130 0.591
S: 0.912 0.282 0.321
S: 0.961 0.679 0.091
S: 0.961 0.782 0.870

Density of states at the Fermi level   25.364 states/eV/cell
Uncorrected energy   -4.627 eV/atom
Total magnetization   0.00 μB per cell

Entry 7:
The following is a PBE calculation of crystalline CaSnS3 at its relaxed geometry, from the Alexandria database.

Unit cell a=7.352 b=7.352 c=7.352 alpha=54.49 beta=54.49 gamma=54.49
Element x y z (fractional)
Ca: 0.142 0.142 0.142
Ca: 0.858 0.858 0.858
Sn: 0.343 0.343 0.343
Sn: 0.657 0.657 0.657
S: 0.060 0.462 0.715
S: 0.285 0.940 0.538
S: 0.462 0.715 0.060
S: 0.538 0.285 0.940
S: 0.715 0.060 0.462
S: 0.940 0.538 0.285

Density of states at the Fermi level   0.000 states/eV/cell
Relative energy among the computed polymorphs   5 meV per atom
Total magnetization   0.00 μB per cell

Entry 8:
The following is a PBE calculation of crystalline Ca4SnS5 at its relaxed geometry, from the Alexandria database.

Unit cell a=7.049 b=7.049 c=7.049 alpha=99.58 beta=99.58 gamma=131.86
Element x y z (fractional)
Ca: 0.103 0.700 0.803
Ca: 0.300 0.103 0.403
Ca: 0.700 0.897 0.597
Ca: 0.897 0.300 0.197
Sn: 0.498 0.498 0.000
S: 0.006 0.006 0.000
S: 0.194 0.397 0.592
S: 0.397 0.805 0.203
S: 0.602 0.194 0.797
S: 0.805 0.602 0.408

Density of states at the Fermi level   0.000 states/eV/cell
Uncorrected energy   -5.057 eV/atom
Total magnetization   0.00 μB per cell